Record 1
! PBE LaMgPS2, optimized geometry; values from VASP
&SYSTEM
  ibrav = 0, nat = 5, ntyp = 4
/
ATOMIC_SPECIES
La 138.91 La.upf
S 32.06 S.upf
P 30.97 P.upf
Mg 24.30 Mg.upf
CELL_PARAMETERS angstrom
-1.555 -5.072 1.167
5.101 -1.244 1.389
-1.039 1.507 5.166
ATOMIC_POSITIONS angstrom
La 0.000 0.000 0.000
S -0.777 -2.536 0.584
P -0.519 0.754 2.583
Mg 1.254 -2.405 3.861
S 2.551 -0.622 0.694
! Space-group type = P4/mmm (123)
! Energy above the lowest structure with this stoichiometry = 0.716 eV/atom
! Total energy = -4.098 eV/atom
! Formation energy from raw total energies = -1.399 kcal/mol of atoms



Record 2
! PBE Ca2ThZn, optimized geometry; values from VASP
&SYSTEM
  ibrav = 0, nat = 4, ntyp = 3
/
ATOMIC_SPECIES
Zn 65.41 Zn.upf
Ca 40.08 Ca.upf
Th 232.04 Th.upf
CELL_PARAMETERS angstrom
-0.619 3.171 -1.442
-1.940 -1.530 -2.533
-7.852 0.942 5.445
ATOMIC_POSITIONS angstrom
Zn -1.280 0.820 -1.987
Ca -6.270 0.753 4.348
Ca -1.582 0.190 1.097
Th -5.206 1.292 0.735
! Space-group type = P4/mmm (123)
! Energy relative to the elements = 0.028 eV/atom
! Energy above the lowest structure with this stoichiometry = 0.000 eV/atom
! Total energy = -3.146 eV/atom



Record 3
! PBE Nd8AlGe5, optimized geometry; values from VASP
&SYSTEM
  ibrav = 0, nat = 14, ntyp = 3
/
ATOMIC_SPECIES
Ge 72.64 Ge.upf
Nd 144.24 Nd.upf
Al 26.98 Al.upf
CELL_PARAMETERS angstrom
7.527 0.000 -2.625
-3.738 6.514 -2.673
-0.051 0.000 7.972
ATOMIC_POSITIONS angstrom
Ge 3.269 5.696 -2.638
Nd -1.912 4.924 1.700
Nd 3.275 2.495 4.296
Ge 2.299 0.817 6.619
Ge 3.738 0.000 2.673
Ge 3.299 4.047 1.354
Nd 6.961 0.728 3.038
Nd 1.010 1.578 1.617
Nd 1.386 4.019 -0.963
Nd -1.882 4.936 -2.240
Nd 1.387 5.786 2.932
Ge -1.390 2.467 0.011
Nd 4.728 1.590 0.314
Al -0.025 3.257 3.986
! Space-group type = I-4 (82)
! Energy relative to the elements = -0.695 eV/atom
! Total energy = -5.336 eV/atom



Record 4
! PBE LiMgCr2Mo, optimized geometry; values from VASP
&SYSTEM
  ibrav = 0, nat = 5, ntyp = 4
/
ATOMIC_SPECIES
Cr 52.00 Cr.upf
Mg 24.30 Mg.upf
Mo 95.94 Mo.upf
Li 6.94 Li.upf
CELL_PARAMETERS angstrom
-2.874 2.273 1.993
-2.836 -2.453 -1.290
0.494 -2.360 3.404
ATOMIC_POSITIONS angstrom
Cr -1.437 1.137 0.997
Mg -1.418 -1.227 -0.645
Mo -2.608 -1.270 2.053
Li 0.000 0.000 0.000
Cr 0.247 -1.180 1.702
! Space-group type = P4/mmm (123)
! Energy relative to the elements = 1.314 eV/atom
! Total energy = -5.404 eV/atom



Record 5
! PBE Sr2InSn2, optimized geometry; values from VASP
&SYSTEM
  ibrav = 0, nat = 5, ntyp = 3
/
ATOMIC_SPECIES
Sr 87.62 Sr.upf
In 114.82 In.upf
Sn 118.71 Sn.upf
CELL_PARAMETERS angstrom
5.574 0.000 0.000
0.000 5.574 0.000
2.787 2.787 6.429
ATOMIC_POSITIONS angstrom
Sr 5.574 2.787 3.215
In 0.000 0.000 0.000
Sn 5.574 5.574 5.082
Sr 2.787 5.574 3.215
Sn 2.787 2.787 1.347
! Space-group type = I4/mmm (139)
! Energy relative to the elements = -0.144 eV/atom
! Energy above the lowest structure with this stoichiometry = 0.409 eV/atom
! Total energy = -2.965 eV/atom



Record 6
! PBE NaIrN2F, optimized geometry; values from VASP
&SYSTEM
  ibrav = 0, nat = 5, ntyp = 4
/
ATOMIC_SPECIES
N 14.01 N.upf
F 19.00 F.upf
Na 22.99 Na.upf
Ir 192.22 Ir.upf
CELL_PARAMETERS angstrom
3.717 0.000 0.000
0.000 3.717 0.000
0.000 0.000 5.665
ATOMIC_POSITIONS angstrom
N 0.000 1.859 0.000
N 1.859 0.000 0.000
F 0.000 0.000 2.833
Na 1.859 1.859 2.833
Ir 0.000 0.000 0.000
! Space-group type = P4/mmm (123)
! Energy above the lowest structure with this stoichiometry = 0.000 eV/atom
! Total energy = -5.888 eV/atom
! Formation energy from raw total energies = -3.405 kcal/mol of atoms



Record 7
! PBE AcPr2DyEr5, optimized geometry; values from VASP
&SYSTEM
  ibrav = 0, nat = 18, ntyp = 4
/
ATOMIC_SPECIES
Er 167.26 Er.upf
Ac 227.00 Ac.upf
Dy 162.50 Dy.upf
Pr 140.91 Pr.upf
CELL_PARAMETERS angstrom
-3.374 1.175 -8.061
4.827 -6.741 -3.003
-6.539 -2.143 7.247
ATOMIC_POSITIONS angstrom
Er 0.000 0.000 0.000
Ac -2.906 -2.463 0.857
Er -3.541 -5.327 -1.299
Dy -4.593 -1.876 -3.173
Dy -0.493 -5.833 -0.644
Er 1.153 -5.851 -3.340
Er -4.959 -1.877 3.807
Er -2.261 -5.346 2.985
Er -2.825 -2.363 -6.802
Pr 1.451 -2.442 -2.095
Pr 0.001 -3.124 -8.969
Er -1.545 -2.382 -2.518
Er -0.127 -5.832 -7.624
Pr -1.517 -0.066 -5.329
Pr 2.969 -5.500 -5.735
Er 0.726 -2.783 -5.532
Er -6.239 -1.858 -0.477
Ac -2.180 -5.246 -4.674
! Space-group type = I4/mcm (140)
! Energy relative to the elements = 0.259 eV/atom
! Total energy = -4.306 eV/atom



Record 8
! PBE FeCu4Pd7, optimized geometry; values from VASP
&SYSTEM
  ibrav = 0, nat = 12, ntyp = 3
/
ATOMIC_SPECIES
Pd 106.42 Pd.upf
Cu 63.55 Cu.upf
Fe 55.84 Fe.upf
CELL_PARAMETERS angstrom
-3.077 0.697 -2.930
-1.051 -0.497 4.149
0.935 10.454 1.504
ATOMIC_POSITIONS angstrom
Pd -1.860 6.358 0.302
Cu -2.094 3.743 -0.075
Cu -2.316 1.255 -0.433
Pd -3.438 7.910 2.328
Pd -1.583 1.504 2.020
Pd 0.245 2.743 0.395
Pd -1.333 4.295 2.422
Fe 0.467 5.227 0.752
Pd -1.610 9.149 0.703
Cu -0.877 9.398 3.156
Cu -1.099 6.910 2.798
Pd 0.000 0.000 0.000
! Space-group type = C2/m (12)
! Energy relative to the elements = -0.068 eV/atom
! Total energy = -5.168 eV/atom



Record 9
! PBE SmGd2Cd, optimized geometry; values from VASP
&SYSTEM
  ibrav = 0, nat = 4, ntyp = 3
/
ATOMIC_SPECIES
Gd 157.25 Gd.upf
Cd 112.41 Cd.upf
Sm 150.36 Sm.upf
CELL_PARAMETERS angstrom
-1.056 -2.153 2.557
1.145 -3.312 0.087
9.533 1.645 7.725
ATOMIC_POSITIONS angstrom
Gd 7.019 0.727 5.914
Cd 0.000 0.000 0.000
Sm 4.811 -1.910 5.185
Gd 2.604 -4.548 4.455
! Space-group type = R-3m (166)
! Energy relative to the elements = 0.163 eV/atom
! Energy above the lowest structure with this stoichiometry = 0.315 eV/atom
! Total energy = -8.286 eV/atom